Run one
## ZnCdOs2 (GGA-PBEsol)

Data for a geometry-optimized ZnCdOs2 structure.

Computed properties:
Size of the total moment (μB/cell): 0.001

The structure in extended XYZ format:
```
4
Lattice="2.7128 0.0000 0.0000 0.0000 4.1101 0.0000 0.0000 0.0000 5.5261" Properties=species:S:1:pos:R:3 pbc="T T T"
Os 0.0000 0.0000 1.1951
Os 0.0000 0.0000 4.3310
Cd 1.3564 2.0551 2.7630
Zn 1.3564 2.0551 0.0000
```



Run two
## ZnCdOs2 (GGA-PBEsol)

Data for a geometry-optimized ZnCdOs2 structure.

Computed properties:
Size of the total moment (μB/cell): 0.002

The structure in extended XYZ format:
```
4
Lattice="-1.1703 -2.6259 -2.4526 2.9775 0.7350 -2.2077 1.3536 -1.9910 4.3969" Properties=species:S:1:pos:R:3 pbc="T T T"
Os 2.6174 -1.1007 -0.0705
Os 0.5435 -2.7811 -0.1929
Zn 0.9036 -0.9454 -2.3302
Cd 0.0000 0.0000 0.0000
```



Of them, run one has the highest stability.



Run one
## Cd3PPb (GGA-PBEsol)

Data for a geometry-optimized Cd3PPb structure.

Computed properties:
Size of the total moment (μB/cell): 0.000

The structure in extended XYZ format:
```
5
Lattice="-4.9877 -0.8409 -0.1220 0.8488 -4.9641 -0.4858 -0.0389 -0.4994 5.0347" Properties=species:S:1:pos:R:3 pbc="T T T"
P 0.0000 0.0000 0.0000
Cd 0.4244 -2.4821 -0.2429
Cd -2.4938 -0.4205 -0.0610
Cd -0.0195 -0.2497 2.5173
Pb -2.0889 -3.1522 2.2135
```



Run two
## Cd3PPb (GGA-PBEsol)

Data for a geometry-optimized Cd3PPb structure.

Computed properties:
Size of the total moment (μB/cell): 1.414

The structure in extended XYZ format:
```
5
Lattice="5.4402 0.0000 0.0000 0.0000 5.4402 0.0000 0.0000 0.0000 5.4402" Properties=species:S:1:pos:R:3 pbc="T T T"
Cd 2.7201 0.0000 0.0000
Cd 0.0000 2.7201 0.0000
Cd 0.0000 0.0000 2.7201
P 2.7201 2.7201 2.7201
Pb 0.0000 0.0000 0.0000
```



Of them, run one has the highest stability.



Run one
## CdRe2P (GGA-PBEsol)

Data for a geometry-optimized CdRe2P structure.

Computed properties:
Size of the total moment (μB/cell): 0.001

The structure in extended XYZ format:
```
4
Lattice="-1.7821 2.2464 0.3773 -2.5663 -2.4450 2.4357 3.5167 0.2615 3.9678" Properties=species:S:1:pos:R:3 pbc="T T T"
P 0.2414 -0.4184 3.6313
Re 1.0175 0.5366 1.6107
Re -1.6382 0.1835 2.2551
Cd 1.3807 2.3214 3.7850
```



Run two
## CdRe2P (GGA-PBEsol)

Data for a geometry-optimized CdRe2P structure.

Computed properties:
Size of the total moment (μB/cell): 0.000

The structure in extended XYZ format:
```
4
Lattice="2.8654 0.0000 0.0000 1.4327 2.4815 0.0000 1.4327 0.8272 8.8082" Properties=species:S:1:pos:R:3 pbc="T T T"
Re 4.2981 2.4815 0.1120
Re 4.2981 2.4815 6.8195
P 1.4327 0.8272 1.8794
Cd 2.8654 1.6543 4.4014
```



Of them, run two has the highest stability.



Run one
## CdRe2P (GGA-PBEsol)

Data for a geometry-optimized CdRe2P structure.

Computed properties:
Size of the total moment (μB/cell): 0.000

The structure in extended XYZ format:
```
4
Lattice="-0.1690 2.8194 0.1942 -2.1665 -1.4909 1.0483 3.8779 -0.2912 7.6001" Properties=species:S:1:pos:R:3 pbc="T T T"
Re 3.0605 -0.2298 5.9982
Re 0.8174 -0.0614 1.6019
P -1.1677 0.6643 0.6213
Cd 0.7712 0.5187 4.4213
```



Run two
## CdRe2P (GGA-PBEsol)

Data for a geometry-optimized CdRe2P structure.

Computed properties:
Size of the total moment (μB/cell): 0.000

The structure in extended XYZ format:
```
4
Lattice="2.7453 -0.0024 0.0000 -1.2555 2.4414 0.0000 0.0000 0.0000 10.1389" Properties=species:S:1:pos:R:3 pbc="T T T"
Re 0.0000 0.0000 10.1231
Re 0.7449 1.2195 7.9413
P 0.7449 1.2195 1.9723
Cd 0.0000 0.0000 5.3105
```



Of them, run one has the highest stability.